The following is a SCAN calculation of a PBEsol-optimized structure of Ta2TiBeAu, from the Alexandria database.

Output
Its formation energy is 0.308 eV/atom. The calculation puts the total magnetization at 0.0 μB per cell.

The structure in CIF format:
```
data_Ta2TiBeAu
_cell_length_a 4.3591
_cell_length_b 4.3591
_cell_length_c 4.2463
_cell_angle_alpha 90.00
_cell_angle_beta 90.00
_cell_angle_gamma 90.00
_symmetry_space_group_name_H-M 'P 4/m m m'
_symmetry_Int_Tables_number 123
_symmetry_space_group_name_Hall '-P 4 2'
loop_
_atom_site_label
_atom_site_fract_x
_atom_site_fract_y
_atom_site_fract_z
Ta1 0.0000 0.5000 0.0000
Ti1 0.0000 0.0000 0.5000
Be1 0.0000 0.0000 0.0000
Au1 0.5000 0.5000 0.5000
```